# KZnTc

KZnTc at its PBEsol-relaxed geometry (SCAN, the Alexandria database).

POSCAR file:
```
KZnTc
1.0
4.701 0.000 0.000
2.350 4.071 0.000
2.350 1.357 3.838
Tc Zn K
1 1 1
Direct
0.500 0.500 0.500 Tc
0.750 0.750 0.750 Zn
0.000 0.000 0.000 K
```

Values from the calculation:
The calculation puts the energy relative to the elements at 137.71 kJ/mol of atoms. The value obtained for the raw total energy is -17.5407 eV per atom.